Material: Ti3Co2NiP6O24
Method: DFT, PBE with a Hubbard U
State: relaxed

abc: 8.499 8.499 8.499
angles: 61.03 61.03 61.03
Positions (direct):
Ti 0.000 0.000 0.000
Ti 0.213 0.213 0.213
Ti 0.503 0.503 0.503
Co 0.356 0.356 0.356
Co 0.855 0.855 0.855
Ni 0.716 0.716 0.716
P 0.109 0.812 0.401
P 0.315 0.611 0.903
P 0.401 0.109 0.812
P 0.611 0.903 0.315
P 0.812 0.401 0.109
P 0.903 0.315 0.611
O 0.042 0.859 0.238
O 0.100 0.286 0.448
O 0.115 0.770 0.912
O 0.189 0.969 0.341
O 0.238 0.042 0.859
O 0.269 0.615 0.413
O 0.286 0.448 0.100
O 0.341 0.189 0.969
O 0.362 0.544 0.738
O 0.413 0.269 0.615
O 0.448 0.100 0.286
O 0.467 0.672 0.872
O 0.544 0.738 0.362
O 0.595 0.953 0.809
O 0.615 0.413 0.269
O 0.672 0.872 0.467
O 0.738 0.362 0.544
O 0.770 0.912 0.115
O 0.809 0.595 0.953
O 0.859 0.238 0.042
O 0.872 0.467 0.672
O 0.912 0.115 0.770
O 0.953 0.809 0.595
O 0.969 0.341 0.189

## Properties
Symmetry   R3
Total energy   -0.5464 Ry per atom
DOS(E_F)   13.13 states/eV per cell